The following is a DFT calculation (PBE) of an optimized crystal structure of ZrCd2Pt8.

Structure (extended XYZ):
```
11
Lattice="5.186 0.000 0.000 0.677 5.164 0.000 0.078 1.381 7.506" Properties=species:S:1:pos:R:3 pbc="T T T"
Zr 0.000 0.000 0.000
Cd 2.321 3.038 2.351
Cd 3.618 3.507 5.154
Pt 0.942 5.190 4.913
Pt 0.979 2.531 4.748
Pt 1.700 3.749 7.153
Pt 3.269 6.116 6.226
Pt 2.670 0.430 1.280
Pt 4.240 2.796 0.353
Pt 4.961 4.015 2.758
Pt 4.998 1.356 2.593
```

Summary:
Density of states at the Fermi level ... 7.08 states/eV/cell
Magnetization ... 0.0 μB/cell
Formation enthalpy at 0 K ... -0.33 eV/atom

---

The following is a DFT calculation (PBE) of an optimized crystal structure of Pu4Cd.

Structure (extended XYZ):
```
5
Lattice="5.768 0.000 0.000 0.000 5.768 0.000 0.000 0.000 5.768" Properties=species:S:1:pos:R:3 pbc="T T T"
Pu 0.000 0.000 0.000
Pu 0.000 2.884 2.884
Pu 2.884 0.000 2.884
Pu 2.884 2.884 0.000
Cd 2.884 2.884 2.884
```

Summary:
Density of states at the Fermi level ... 35.82 states/eV/cell
Magnetization ... 25.5 μB/cell
Formation enthalpy at 0 K ... 0.98 eV/atom

---

The following is a DFT calculation (PBE) of an optimized crystal structure of Pu5Cd.

Structure (extended XYZ):
```
12
Lattice="5.459 0.000 0.000 0.000 16.205 0.000 0.000 0.000 3.033" Properties=species:S:1:pos:R:3 pbc="T T T"
Pu 0.000 0.000 0.000
Pu 0.000 2.436 1.516
Pu 0.000 5.228 0.000
Pu 0.000 10.977 0.000
Pu 0.000 13.769 1.516
Pu 2.730 2.874 0.000
Pu 2.730 5.667 1.516
Pu 2.730 8.103 0.000
Pu 2.730 10.538 1.516
Pu 2.730 13.331 0.000
Cd 0.000 8.103 1.516
Cd 2.730 0.000 1.516
```

Summary:
Density of states at the Fermi level ... 48.25 states/eV/cell
Magnetization ... 10.9 μB/cell
Formation enthalpy at 0 K ... 0.17 eV/atom

---

Across the entries above, uncorrected energy takes the values -0.417; -0.784; -0.876 Ry per atom, respectively.